(1)
Entry from Alexandria: an optimized crystal structure of HfAlCrGe2 (PBE).

```
data_HfAlCrGe2
_space_group_name_H-M_alt 'P 4/m m m'
_space_group_IT_number 123
_space_group_name_Hall '-P 4 2'
_cell_length_a 4.619
_cell_length_b 4.619
_cell_length_c 4.777
_cell_angle_alpha 90.00
_cell_angle_beta 90.00
_cell_angle_gamma 90.00
loop_
_atom_site_label
_atom_site_type_symbol
_atom_site_fract_x
_atom_site_fract_y
_atom_site_fract_z
Hf1 Hf 0.000 0.000 0.000
Al1 Al 0.500 0.500 0.000
Cr1 Cr 0.000 0.000 0.500
Ge1 Ge 0.000 0.500 0.500
```

Results
The value obtained for the formation energy from the elements is 0.404 eV per atom. The calculation puts the total energy at -6.106 eV per atom. Its total moment is 0.00 μB per formula unit. The crystal system is tetragonal.

---

(2)
Entry from Alexandria: an optimized crystal structure of HoAlCrGe2 (PBE).

```
data_HoAlCrGe2
_space_group_name_H-M_alt 'P m m a'
_space_group_IT_number 51
_space_group_name_Hall '-P 2a 2a'
_cell_length_a 5.410
_cell_length_b 5.674
_cell_length_c 5.775
_cell_angle_alpha 90.00
_cell_angle_beta 90.00
_cell_angle_gamma 90.00
loop_
_atom_site_label
_atom_site_type_symbol
_atom_site_fract_x
_atom_site_fract_y
_atom_site_fract_z
Ho1 Ho 0.250 0.000 0.218
Al1 Al 0.250 0.500 0.369
Cr1 Cr 0.000 0.500 0.000
Ge1 Ge 0.250 0.235 0.738
```

Results
The value obtained for the formation energy from the elements is -0.335 eV per atom. The calculation puts the total energy at -5.771 eV per atom. Its total moment is 0.28 μB per formula unit. The crystal system is orthorhombic.

---

(3)
Entry from Alexandria: an optimized crystal structure of AlCrGeIr (PBE).

```
data_AlCrGeIr
_space_group_name_H-M_alt 'F -4 3 m'
_space_group_IT_number 216
_space_group_name_Hall 'F -4 2 3'
_cell_length_a 6.056
_cell_length_b 6.056
_cell_length_c 6.056
_cell_angle_alpha 90.00
_cell_angle_beta 90.00
_cell_angle_gamma 90.00
loop_
_atom_site_label
_atom_site_type_symbol
_atom_site_fract_x
_atom_site_fract_y
_atom_site_fract_z
Al1 Al 0.000 0.000 0.000
Cr1 Cr 0.250 0.250 0.250
Ge1 Ge 0.000 0.000 0.500
Ir1 Ir 0.250 0.250 0.750
```

Results
The value obtained for the formation energy from the elements is -0.201 eV per atom. The calculation puts the total energy at -6.912 eV per atom. Its total moment is 1.86 μB per formula unit. The crystal system is cubic.

---

(4)
Entry from Alexandria: an optimized crystal structure of LiAlCrGe (PBE).

```
data_LiAlCrGe
_space_group_name_H-M_alt 'F -4 3 m'
_space_group_IT_number 216
_space_group_name_Hall 'F -4 2 3'
_cell_length_a 6.191
_cell_length_b 6.191
_cell_length_c 6.191
_cell_angle_alpha 90.00
_cell_angle_beta 90.00
_cell_angle_gamma 90.00
loop_
_atom_site_label
_atom_site_type_symbol
_atom_site_fract_x
_atom_site_fract_y
_atom_site_fract_z
Li1 Li 0.000 0.000 0.000
Al1 Al 0.250 0.250 0.250
Cr1 Cr 0.000 0.000 0.500
Ge1 Ge 0.250 0.250 0.750
```

Results
The value obtained for the formation energy from the elements is -0.053 eV per atom. The calculation puts the total energy at -5.028 eV per atom. Its total moment is 3.43 μB per formula unit. The crystal system is cubic.

---

(5)
Entry from Alexandria: an optimized crystal structure of NdAlCrGe2 (PBE).

```
data_NdAlCrGe2
_space_group_name_H-M_alt 'P m m a'
_space_group_IT_number 51
_space_group_name_Hall '-P 2a 2a'
_cell_length_a 5.743
_cell_length_b 5.799
_cell_length_c 5.775
_cell_angle_alpha 90.00
_cell_angle_beta 90.00
_cell_angle_gamma 90.00
loop_
_atom_site_label
_atom_site_type_symbol
_atom_site_fract_x
_atom_site_fract_y
_atom_site_fract_z
Nd1 Nd 0.250 0.000 0.232
Al1 Al 0.250 0.500 0.381
Cr1 Cr 0.000 0.500 0.000
Ge1 Ge 0.250 0.235 0.747
```

Results
The value obtained for the formation energy from the elements is -0.343 eV per atom. The calculation puts the total energy at -5.816 eV per atom. Its total moment is 2.09 μB per formula unit. The crystal system is orthorhombic.

---

(6)
Entry from Alexandria: an optimized crystal structure of PmAlCrGe2 (PBE).

```
data_PmAlCrGe2
_space_group_name_H-M_alt 'P m m a'
_space_group_IT_number 51
_space_group_name_Hall '-P 2a 2a'
_cell_length_a 5.727
_cell_length_b 5.770
_cell_length_c 5.753
_cell_angle_alpha 90.00
_cell_angle_beta 90.00
_cell_angle_gamma 90.00
loop_
_atom_site_label
_atom_site_type_symbol
_atom_site_fract_x
_atom_site_fract_y
_atom_site_fract_z
Pm1 Pm 0.250 0.000 0.231
Al1 Al 0.250 0.500 0.381
Cr1 Cr 0.000 0.500 0.000
Ge1 Ge 0.250 0.233 0.746
```

Results
The value obtained for the formation energy from the elements is -0.350 eV per atom. The calculation puts the total energy at -5.820 eV per atom. Its total moment is 2.08 μB per formula unit. The crystal system is orthorhombic.

---

(7)
Entry from Alexandria: an optimized crystal structure of AlCrGeRu (PBE).

```
data_AlCrGeRu
_space_group_name_H-M_alt 'F -4 3 m'
_space_group_IT_number 216
_space_group_name_Hall 'F -4 2 3'
_cell_length_a 6.060
_cell_length_b 6.060
_cell_length_c 6.060
_cell_angle_alpha 90.00
_cell_angle_beta 90.00
_cell_angle_gamma 90.00
loop_
_atom_site_label
_atom_site_type_symbol
_atom_site_fract_x
_atom_site_fract_y
_atom_site_fract_z
Al1 Al 0.000 0.000 0.000
Cr1 Cr 0.250 0.250 0.250
Ge1 Ge 0.000 0.000 0.500
Ru1 Ru 0.250 0.250 0.750
```

Results
The value obtained for the formation energy from the elements is -0.235 eV per atom. The calculation puts the total energy at -7.049 eV per atom. Its total moment is 2.82 μB per formula unit. The crystal system is cubic.

---

(8)
Entry from Alexandria: an optimized crystal structure of TbAlCrGe2 (PBE).

```
data_TbAlCrGe2
_space_group_name_H-M_alt 'P m m a'
_space_group_IT_number 51
_space_group_name_Hall '-P 2a 2a'
_cell_length_a 5.438
_cell_length_b 5.712
_cell_length_c 5.775
_cell_angle_alpha 90.00
_cell_angle_beta 90.00
_cell_angle_gamma 90.00
loop_
_atom_site_label
_atom_site_type_symbol
_atom_site_fract_x
_atom_site_fract_y
_atom_site_fract_z
Tb1 Tb 0.250 0.000 0.222
Al1 Al 0.250 0.500 0.370
Cr1 Cr 0.000 0.500 0.000
Ge1 Ge 0.250 0.236 0.740
```

Results
The value obtained for the formation energy from the elements is -0.343 eV per atom. The calculation puts the total energy at -5.789 eV per atom. Its total moment is 0.36 μB per formula unit. The crystal system is orthorhombic.

---

(9)
Entry from Alexandria: an optimized crystal structure of AlCrTcGe (PBE).

```
data_AlCrTcGe
_space_group_name_H-M_alt 'F -4 3 m'
_space_group_IT_number 216
_space_group_name_Hall 'F -4 2 3'
_cell_length_a 6.099
_cell_length_b 6.099
_cell_length_c 6.099
_cell_angle_alpha 90.00
_cell_angle_beta 90.00
_cell_angle_gamma 90.00
loop_
_atom_site_label
_atom_site_type_symbol
_atom_site_fract_x
_atom_site_fract_y
_atom_site_fract_z
Al1 Al 0.000 0.000 0.000
Cr1 Cr 0.250 0.250 0.250
Tc1 Tc 0.250 0.250 0.750
Ge1 Ge 0.000 0.000 0.500
```

Results
The value obtained for the formation energy from the elements is -0.103 eV per atom. The calculation puts the total energy at -7.190 eV per atom. Its total moment is 2.99 μB per formula unit. The crystal system is cubic.

---

(10)
Entry from Alexandria: an optimized crystal structure of AlCr2GeW (PBE).

```
data_AlCr2GeW
_space_group_name_H-M_alt 'P 4/m m m'
_space_group_IT_number 123
_space_group_name_Hall '-P 4 2'
_cell_length_a 4.407
_cell_length_b 4.407
_cell_length_c 4.536
_cell_angle_alpha 90.00
_cell_angle_beta 90.00
_cell_angle_gamma 90.00
loop_
_atom_site_label
_atom_site_type_symbol
_atom_site_fract_x
_atom_site_fract_y
_atom_site_fract_z
Al1 Al 0.000 0.000 0.000
Cr1 Cr 0.000 0.500 0.000
Ge1 Ge 0.000 0.000 0.500
W1 W 0.500 0.500 0.500
```

Results
The value obtained for the formation energy from the elements is 1.648 eV per atom. The calculation puts the total energy at -6.464 eV per atom. Its total moment is 3.51 μB per formula unit. The crystal system is tetragonal.

---

(11)
Entry from Alexandria: an optimized crystal structure of AlZnCr2Ge (PBE).

```
data_AlZnCr2Ge
_space_group_name_H-M_alt 'P 4/m m m'
_space_group_IT_number 123
_space_group_name_Hall '-P 4 2'
_cell_length_a 4.737
_cell_length_b 4.737
_cell_length_c 4.673
_cell_angle_alpha 90.00
_cell_angle_beta 90.00
_cell_angle_gamma 90.00
loop_
_atom_site_label
_atom_site_type_symbol
_atom_site_fract_x
_atom_site_fract_y
_atom_site_fract_z
Al1 Al 0.000 0.000 0.000
Zn1 Zn 0.500 0.500 0.000
Cr1 Cr 0.000 0.500 0.500
Ge1 Ge 0.000 0.000 0.500
```

Results
The value obtained for the formation energy from the elements is 0.878 eV per atom. The calculation puts the total energy at -4.898 eV per atom. Its total moment is 7.22 μB per formula unit. The crystal system is tetragonal.

---

(12)
Entry from Alexandria: an optimized crystal structure of AlCr3H3 (PBE).

```
data_AlCr3H3
_space_group_name_H-M_alt 'P 1 21/m 1'
_space_group_IT_number 11
_space_group_name_Hall '-P 2yb'
_cell_length_a 6.682
_cell_length_b 2.855
_cell_length_c 6.736
_cell_angle_alpha 90.00
_cell_angle_beta 115.70
_cell_angle_gamma 90.00
loop_
_atom_site_label
_atom_site_type_symbol
_atom_site_fract_x
_atom_site_fract_y
_atom_site_fract_z
Al1 Al 0.155 0.250 0.248
Cr1 Cr 0.134 0.250 0.693
Cr2 Cr 0.379 0.750 0.041
Cr3 Cr 0.405 0.750 0.619
H1 H 0.121 0.750 0.543
H2 H 0.191 0.250 0.968
H3 H 0.425 0.750 0.341
```

Results
The calculation puts the total energy at -6.024 eV per atom. Its total moment is 0.00 μB per formula unit. The crystal system is monoclinic.